[1]
A plane-wave DFT calculation with PBE-GGA was carried out for a relaxed structure of Sr2TcMo.

a = 6.3042 Å, b = 6.3042 Å, c = 6.3042 Å
α = 145.95°, β = 126.62°, γ = 64.84°
Positions (direct):
Sr  0.0000  0.0000  0.0000
Sr  0.7043  0.2043  0.5000
Tc  0.2747  0.7747  0.5000
Mo  0.4119  0.4119  0.0000

## Properties
Formation energy from the elements: 53.8 kJ per mole of atoms
N(E_F): 3.37 states/eV/cell
Crystal system: orthorhombic

[2]
A plane-wave DFT calculation with PBE-GGA was carried out for a relaxed structure of SrTcMo2.

a = 5.1169 Å, b = 5.1169 Å, c = 5.9261 Å
α = 104.75°, β = 104.75°, γ = 36.40°
Positions (direct):
Sr  0.0000  0.0000  0.0000
Tc  0.7800  0.7800  0.3599
Mo  0.2060  0.2060  0.6308
Mo  0.4936  0.4936  0.4910

## Properties
Formation energy from the elements: 68.2 kJ per mole of atoms
N(E_F): 4.56 states/eV/cell
Crystal system: monoclinic

[3]
A plane-wave DFT calculation with PBE-GGA was carried out for a relaxed structure of Sr2TcMo.

a = 9.5524 Å, b = 9.5524 Å, c = 9.5524 Å
α = 158.92°, β = 157.32°, γ = 31.15°
Positions (direct):
Sr  0.1493  0.1493  0.0000
Sr  0.8507  0.8507  0.0000
Tc  0.0000  0.5000  0.5000
Mo  0.5000  0.0000  0.5000

## Properties
Formation energy from the elements: 57.1 kJ per mole of atoms
N(E_F): 5.08 states/eV/cell
Crystal system: orthorhombic